## RbAsPbO6 (PBE)

Data for a geometry-optimized RbAsPbO6 structure.

## Properties
Total DFT energy (no corrections) ... -46.8 eV/cell
Uncorrected formation energy ... -0.857 eV per atom
Crystal system ... trigonal

Unit cell a=5.4255 b=5.4255 c=6.3691 alpha=90.00 beta=90.00 gamma=120.00
Space group P312 (No. 149)
Symmetry-distinct sites (fractional):
Rb  0.0000  0.0000  0.0000 (multiplicity 1)
As  0.6667  0.3333  0.5000 (multiplicity 1)
Pb  0.3333  0.6667  0.5000 (multiplicity 1)
O  0.4037  0.0481  0.6730 (multiplicity 6)

=====

## Sm2ScBi (PBE)

Data for a geometry-optimized Sm2ScBi structure.

## Properties
Total DFT energy (no corrections) ... -21.1 eV/cell
Energy of formation ... -0.35 eV per atom
Excess energy over the best structure of this formula in the dataset ... 3.1 kJ per mole of atoms
Crystal system ... tetragonal

Unit cell a=4.810 b=4.810 c=4.866 alpha=90.00 beta=90.00 gamma=90.00
Space group P4/mmm (No. 123)
Symmetry-distinct sites (fractional):
Sm  0.000  0.500  0.000 (multiplicity 2)
Sc  0.000  0.000  0.500 (multiplicity 1)
Bi  0.500  0.500  0.500 (multiplicity 1)

=====

## ReHgAs2 (PBE)

Data for a geometry-optimized ReHgAs2 structure.

## Properties
Total DFT energy (no corrections) ... -42.3 eV/cell
Energy of formation ... 0.22 eV per atom
Crystal system ... monoclinic

Unit cell a=8.691 b=3.147 c=6.550 alpha=90.00 beta=108.81 gamma=90.00
Space group Cm (No. 8)
Symmetry-distinct sites (fractional):
Re  0.000  0.000  0.000 (multiplicity 2)
Hg  0.136  0.500  0.412 (multiplicity 2)
As  0.292  0.000  0.032 (multiplicity 2)
As  0.447  0.000  0.690 (multiplicity 2)

=====

## GdFeCo2 (PBE)

Data for a geometry-optimized GdFeCo2 structure.

## Properties
Total DFT energy (no corrections) ... -110.7 eV/cell
Energy of formation ... -0.03 eV per atom
Crystal system ... trigonal

Unit cell a=4.0148 b=4.0148 c=14.3250 alpha=90.00 beta=90.00 gamma=120.00
Space group R-3m (No. 166, hexagonal axes)
Symmetry-distinct sites (fractional):
Gd  0.0000  0.0000  0.0000 (multiplicity 3)
Fe  0.0000  0.0000  0.5000 (multiplicity 3)
Co  0.0000  0.0000  0.1942 (multiplicity 6)

=====

## K4Cd3Pt2 (PBE)

Data for a geometry-optimized K4Cd3Pt2 structure.

## Properties
Total DFT energy (no corrections) ... -41.3 eV/cell
Energy of formation ... -0.16 eV per atom
Crystal system ... monoclinic

Unit cell a=17.255 b=4.470 c=8.123 alpha=90.00 beta=106.17 gamma=90.00
Space group C2/m (No. 12)
Symmetry-distinct sites (fractional):
K  0.081  0.000  0.374 (multiplicity 4)
K  0.226  0.500  0.172 (multiplicity 4)
Cd  0.000  0.500  0.000 (multiplicity 2)
Cd  0.102  0.500  0.745 (multiplicity 4)
Pt  0.081  0.000  0.933 (multiplicity 4)

=====

## TlRuF6 (PBE)

Data for a geometry-optimized TlRuF6 structure.

## Properties
Total DFT energy (no corrections) ... -37.6 eV/cell
Uncorrected formation energy ... -1.847 eV per atom
Excess energy over the best structure of this formula in the dataset ... 0.5 kJ per mole of atoms
Crystal system ... triclinic

Unit cell a=5.630 b=5.636 c=6.270 alpha=63.40 beta=63.40 gamma=60.08
Space group P-1 (No. 2)
Symmetry-distinct sites (fractional):
Tl  0.000  0.000  0.000 (multiplicity 1)
Ru  0.500  0.500  0.500 (multiplicity 1)
F  0.129  0.665  0.706 (multiplicity 2)
F  0.335  0.500  0.294 (multiplicity 2)
F  0.500  0.129  0.706 (multiplicity 2)

=====

no.,magnetic moment (μB per atom),calculated volume (Å³/atom)
1,0.223,18.040
2,0.000,28.144
3,0.000,21.196
4,2.745,16.664
5,0.000,33.433
6,0.375,18.449